Record 1
A plane-wave DFT calculation with PBE was carried out for crystalline Zr2BeNbP at its relaxed geometry.

Computed properties:
Its formation energy is 0.2462 eV per atom. The calculation puts the total magnetization at 0.00 μB/f.u.

Lattice parameters (Å, degrees): 4.6434 4.6434 4.3073 90.00 90.00 90.00
Space group P4/mmm (No. 123)
Unique sites:
Zr1 0.0000 0.5000 0.0000 [2 per cell]
Be1 0.0000 0.0000 0.0000 [1 per cell]
Nb1 0.0000 0.0000 0.5000 [1 per cell]
P1 0.5000 0.5000 0.5000 [1 per cell]

---

Record 2
A plane-wave DFT calculation with PBE was carried out for crystalline SnHO3 at its relaxed geometry.

Computed properties:
The total DFT energy (no corrections) comes out at -4.268 eV per atom. The calculation puts the total magnetization at 1.37 μB/f.u.

Lattice parameters (Å, degrees): 3.4298 3.4298 3.4298 90.00 90.00 90.00
Space group Pm-3m (No. 221)
Unique sites:
Sn1 0.0000 0.0000 0.0000 [1 per cell]
H1 0.5000 0.5000 0.5000 [1 per cell]
O1 0.0000 0.5000 0.5000 [3 per cell]

---

Record 3
A plane-wave DFT calculation with PBE was carried out for crystalline ZrCu2I2 at its relaxed geometry.

Computed properties:
The value obtained for the formation energy (no corrections) is 0.43 eV per atom. The calculation puts the energy above the lowest structure with this stoichiometry at 389 meV/atom. The calculation puts the total magnetization at 0.00 μB/f.u.

Lattice parameters (Å, degrees): 7.7275 7.7275 3.7446 90.00 90.00 90.00
Space group P4/mbm (No. 127)
Unique sites:
Zr1 0.0000 0.0000 0.0000 [2 per cell]
Cu1 0.1678 0.3322 0.5000 [4 per cell]
I1 0.1589 0.6589 0.0000 [4 per cell]

---

Record 4
A plane-wave DFT calculation with PBE was carried out for crystalline TmTh3Sc at its relaxed geometry.

Computed properties:
Its formation energy is 0.2744 eV per atom. The calculation puts the energy above the lowest structure with this stoichiometry at 237 meV/atom. The calculation puts the total magnetization at 0.00 μB/f.u.

Lattice parameters (Å, degrees): 9.5717 9.5717 11.6142 90.00 90.00 120.00
Space group R-3 (No. 148, hexagonal axes)
Unique sites:
Tm1 0.0000 0.0000 0.1289 [6 per cell]
Th1 0.0003 0.3293 0.4157 [18 per cell]
Sc1 0.0000 0.0000 0.3782 [6 per cell]

---

Record 5
A plane-wave DFT calculation with PBE was carried out for crystalline SiTc2Ru at its relaxed geometry.

Computed properties:
The value obtained for the formation energy (no corrections) is -0.07 eV per atom. The calculation puts the total magnetization at 0.00 μB/f.u.

Lattice parameters (Å, degrees): 2.7715 2.7715 25.1648 90.00 90.00 120.00
Space group R-3m (No. 166, hexagonal axes)
Unique sites:
Si1 0.0000 0.0000 0.0000 [3 per cell]
Tc1 0.0000 0.0000 0.2527 [6 per cell]
Ru1 0.0000 0.0000 0.5000 [3 per cell]

---

Record 6
A plane-wave DFT calculation with PBE was carried out for crystalline Pm5NdSc2 at its relaxed geometry.

Computed properties:
Its formation energy is 0.0348 eV per atom. The calculation puts the energy above the lowest structure with this stoichiometry at 0 meV/atom. The calculation puts the total magnetization at 0.00 μB/f.u.

Lattice parameters (Å, degrees): 7.1071 14.2185 5.0151 90.00 90.00 90.00
Space group Pbam (No. 55)
Unique sites:
Pm1 0.0000 0.0000 0.0000 [2 per cell]
Pm2 0.0008 0.2498 0.0000 [4 per cell]
Pm3 0.2491 0.8748 0.5000 [4 per cell]
Nd1 0.0000 0.5000 0.0000 [2 per cell]
Sc1 0.2504 0.1252 0.5000 [4 per cell]

---

Please write out number 5 again, unchanged.
A plane-wave DFT calculation with PBE was carried out for crystalline SiTc2Ru at its relaxed geometry.

Computed properties:
The value obtained for the formation energy (no corrections) is -0.07 eV per atom. The calculation puts the total magnetization at 0.00 μB/f.u.

Lattice parameters (Å, degrees): 2.7715 2.7715 25.1648 90.00 90.00 120.00
Space group R-3m (No. 166, hexagonal axes)
Unique sites:
Si1 0.0000 0.0000 0.0000 [3 per cell]
Tc1 0.0000 0.0000 0.2527 [6 per cell]
Ru1 0.0000 0.0000 0.5000 [3 per cell]